Computed, not measured: a relaxed ScPBrCl2 crystal at the PBE-GGA level of DFT.

```
ScPBrCl2
1.0
4.9614 0.0000 0.0000
0.0000 4.9614 0.0000
0.0000 0.0000 5.2546
Sc P Br Cl
1 1 1 2
direct
0.0000 0.0000 0.0000
0.5000 0.5000 0.0000
0.5000 0.5000 0.5000
0.0000 0.5000 0.5000
0.5000 0.0000 0.5000
```

Computed properties:
The calculation puts the raw formation energy at 421.3 meV/atom. As for the density of states at the Fermi level: 3.08 states/eV/cell. As for the excess energy over the best structure of this formula in the dataset: 1170.3 meV per atom. The calculation puts the volume at 129 Å³/cell. The calculation puts the total moment at 0.7 μB/cell.

Computed, not measured: a relaxed Rb2ZnHg crystal at the PBE-GGA level of DFT.

```
Rb2ZnHg
1.0
0.0000 4.4333 4.4333
4.4333 0.0000 4.4333
4.4333 4.4333 0.0000
Rb Zn Hg
2 1 1
direct
0.2500 0.2500 0.2500
0.7500 0.7500 0.7500
0.0000 0.0000 0.0000
0.5000 0.5000 0.5000
```

Computed properties:
As for the density of states at the Fermi level: 4.47 states/eV/cell. Its energy relative to the elements is 0.032 eV per atom. As for the excess energy over the best structure of this formula in the dataset: 2.0 meV per atom. The calculation puts the volume at 174 Å³/cell. The calculation puts the total moment at 0.0 μB/cell.

Computed, not measured: a relaxed TbIrSe2 crystal at the PBE-GGA level of DFT.

```
TbIrSe2
1.0
1.8993 1.0966 8.2150
-1.8993 1.0966 8.2150
0.0000 -2.1931 8.2150
Tb Ir Se
1 1 2
direct
0.0000 0.0000 0.0000
0.5000 0.5000 0.5000
0.1164 0.1164 0.1164
0.8836 0.8836 0.8836
```

Computed properties:
The calculation puts the raw formation energy at -366.1 meV/atom. As for the density of states at the Fermi level: 0.87 states/eV/cell. The calculation puts the volume at 103 Å³/cell. The calculation puts the total moment at 0.0 μB/cell.

Computed, not measured: a relaxed LiScBr2Cl crystal at the PBE-GGA level of DFT.

```
LiScBr2Cl
1.0
6.1577 0.0000 0.0000
0.0000 6.1577 0.0000
0.0000 0.0000 4.0192
Li Sc Br Cl
1 1 2 1
direct
0.0000 0.0000 0.0000
0.5000 0.5000 0.0000
0.0000 0.5000 0.5000
0.5000 0.0000 0.5000
0.0000 0.0000 0.5000
```

Computed properties:
The calculation puts the raw formation energy at -448.8 meV/atom. As for the density of states at the Fermi level: 8.06 states/eV/cell. The calculation puts the volume at 152 Å³/cell. The calculation puts the total moment at 1.0 μB/cell.

Computed, not measured: a relaxed Pr2Ho3Tm6Pu crystal at the PBE-GGA level of DFT.

```
Pr2Ho3Tm6Pu
1.0
3.0581 -5.2993 0.0000
3.0581 5.2993 0.0000
-2.0471 0.0000 11.4361
Pr Ho Tm Pu
2 3 6 1
direct
0.1666 0.8334 0.0000
0.8334 0.1666 0.0000
0.0000 0.0000 0.5000
0.3330 0.6670 0.5000
0.6670 0.3330 0.5000
0.0876 0.4164 0.7484
0.2549 0.2549 0.2518
0.4164 0.0876 0.7484
0.5836 0.9124 0.2516
0.7451 0.7451 0.7482
0.9124 0.5836 0.2516
0.5000 0.5000 0.0000
```

Computed properties:
As for the density of states at the Fermi level: 24.85 states/eV/cell. Its energy relative to the elements is 0.052 eV per atom. The calculation puts the volume at 371 Å³/cell. The calculation puts the total moment at 6.2 μB/cell.

Computed, not measured: a relaxed LiMgCu2 crystal at the PBE-GGA level of DFT.

```
LiMgCu2
1.0
3.8444 0.0000 0.0000
0.0000 3.8444 0.0000
0.0000 0.0000 3.8535
Li Mg Cu
1 1 2
direct
0.0000 0.0000 0.0000
0.5000 0.5000 0.0000
0.0000 0.5000 0.5000
0.5000 0.0000 0.5000
```

Computed properties:
As for the density of states at the Fermi level: 1.56 states/eV/cell. Its energy relative to the elements is -0.045 eV per atom. The calculation puts the volume at 57 Å³/cell. The calculation puts the total moment at 0.0 μB/cell.

Computed, not measured: a relaxed Pm5Te5Ru crystal at the PBE-GGA level of DFT.

```
Pm5Te5Ru
1.0
7.0436 -3.1454 0.0000
7.0436 3.1454 0.0000
-2.8670 0.0000 8.2842
Pm Te Ru
5 5 1
direct
0.0000 0.0000 0.0000
0.3509 0.3509 0.6941
0.3526 0.3526 0.1497
0.6474 0.6474 0.8503
0.6491 0.6491 0.3059
0.1650 0.1650 0.8246
0.1808 0.1808 0.3328
0.5000 0.5000 0.5000
0.8192 0.8192 0.6672
0.8350 0.8350 0.1754
0.5000 0.5000 0.0000
```

Computed properties:
The calculation puts the raw formation energy at -1161.6 meV/atom. As for the density of states at the Fermi level: 6.26 states/eV/cell. The calculation puts the volume at 367 Å³/cell. The calculation puts the total moment at 0.0 μB/cell.

Computed, not measured: a relaxed CaPm2SmBi4 crystal at the PBE-GGA level of DFT.

```
CaPm2SmBi4
1.0
7.9519 0.0000 0.0000
0.0000 4.5633 0.0000
-2.6286 0.0000 7.5156
Ca Pm Sm Bi
1 2 1 4
direct
0.0000 0.0000 0.0000
0.5000 0.0000 0.5000
0.5000 0.5000 0.0000
0.0000 0.5000 0.5000
0.2495 0.0000 0.7486
0.2512 0.5000 0.2523
0.7488 0.5000 0.7477
0.7505 0.0000 0.2514
```

Computed properties:
As for the density of states at the Fermi level: 3.92 states/eV/cell. Its energy relative to the elements is -0.854 eV per atom. The calculation puts the volume at 273 Å³/cell. The calculation puts the total moment at 0.0 μB/cell.

Computed, not measured: a relaxed CsBeZnCO crystal at the PBE-GGA level of DFT.

```
CsBeZnCO
1.0
3.5060 0.0000 0.0000
-1.4061 4.6880 0.0000
-0.5078 -1.8705 5.9650
Cs Be Zn C O
1 1 1 1 1
direct
0.0000 0.0000 0.0000
0.7651 0.2432 0.5370
0.4998 0.6978 0.4389
0.2916 0.3154 0.5443
0.5440 0.3437 0.7440
```

Computed properties:
The calculation puts the raw formation energy at -125.8 meV/atom. As for the density of states at the Fermi level: 0.74 states/eV/cell. As for the excess energy over the best structure of this formula in the dataset: 182.4 meV per atom. The calculation puts the volume at 98 Å³/cell. The calculation puts the total moment at 0.0 μB/cell.

Computed, not measured: a relaxed CdCoBRh2 crystal at the PBE-GGA level of DFT.

```
CdCoBRh2
1.0
4.1416 0.0000 0.0000
0.0000 4.1416 0.0000
0.0000 0.0000 3.9552
Cd Co B Rh
1 1 1 2
direct
0.0000 0.0000 0.0000
0.5000 0.5000 0.0000
0.5000 0.5000 0.5000
0.0000 0.5000 0.5000
0.5000 0.0000 0.5000
```

Computed properties:
As for the density of states at the Fermi level: 5.13 states/eV/cell. Its energy relative to the elements is -0.120 eV per atom. The calculation puts the volume at 68 Å³/cell. The calculation puts the total moment at 1.9 μB/cell.

Computed, not measured: a relaxed CaSn2Mo2 crystal at the PBE-GGA level of DFT.

```
CaSn2Mo2
1.0
8.1893 0.0000 0.0000
0.0000 8.1893 0.0000
0.0000 0.0000 3.1976
Ca Sn Mo
2 4 4
direct
0.0000 0.0000 0.0000
0.5000 0.5000 0.0000
0.1814 0.3186 0.5000
0.3186 0.8186 0.5000
0.6814 0.1814 0.5000
0.8186 0.6814 0.5000
0.1041 0.6041 0.0000
0.3959 0.1041 0.0000
0.6041 0.8959 0.0000
0.8959 0.3959 0.0000
```

Computed properties:
As for the density of states at the Fermi level: 5.65 states/eV/cell. Its energy relative to the elements is 0.136 eV per atom. The calculation puts the volume at 214 Å³/cell. The calculation puts the total moment at 0.0 μB/cell.

Computed, not measured: a relaxed Pm5Sm5Dy2 crystal at the PBE-GGA level of DFT.

```
Pm5Sm5Dy2
1.0
7.6933 -2.5594 0.0000
7.6933 2.5594 0.0000
-5.1331 0.0000 10.2504
Pm Sm Dy
5 5 2
direct
0.0000 0.0000 0.0000
0.0828 0.0828 0.7499
0.1668 0.1668 0.5000
0.8332 0.8332 0.5000
0.9172 0.9172 0.2501
0.2488 0.2488 0.2490
0.3338 0.3338 0.0001
0.5000 0.5000 0.5000
0.6662 0.6662 0.9999
0.7512 0.7512 0.7510
0.4165 0.4165 0.7498
0.5835 0.5835 0.2502
```

Computed properties:
As for the density of states at the Fermi level: 17.74 states/eV/cell. Its energy relative to the elements is 0.014 eV per atom. The calculation puts the volume at 404 Å³/cell. The calculation puts the total moment at 0.0 μB/cell.